Entry 1:
Computed, not measured: crystalline RbNaPbI4 at its relaxed geometry at the PBE-GGA level of DFT.

Summary:
ΔE_f (raw) = -1.00 eV/atom
E = -38.39 eV per cell
volume = 351.4 Å³/f.u.
spin magnetization = 0.0 μB per cell

abc: 8.531 8.716 9.760
angles: 90.00 104.44 90.00
Atoms (fractional coordinates):
I: 0.006 0.998 0.284
I: 0.535 0.750 0.620
Rb: 0.186 0.250 0.039
Na: 0.723 0.250 0.654
I: 0.994 0.498 0.716
I: 0.471 0.250 0.825
Na: 0.277 0.750 0.346
I: 0.465 0.250 0.380
Pb: 0.809 0.750 0.456
Pb: 0.191 0.250 0.544
I: 0.994 0.002 0.716
I: 0.006 0.502 0.284
Rb: 0.814 0.750 0.961
I: 0.529 0.750 0.175

Entry 2:
Computed, not measured: crystalline La5TmIn3 at its relaxed geometry at the PBE-GGA level of DFT.

Summary:
E = -81.06 eV per cell
volume = 285.1 Å³/f.u.
spin magnetization = 0.2 μB per cell

abc: 7.022 9.682 9.682
angles: 120.00 90.00 90.00
Atoms (fractional coordinates):
La: 0.250 0.341 0.341
In: 0.750 0.000 0.680
In: 0.250 0.680 0.680
In: 0.250 0.000 0.320
In: 0.750 0.680 0.000
La: 0.500 0.667 0.333
La: 0.750 0.341 0.000
La: 0.250 0.659 0.000
La: 0.000 0.667 0.333
In: 0.250 0.320 0.000
Tm: 0.500 0.000 0.000
La: 0.250 0.000 0.659
La: 0.750 0.659 0.659
In: 0.750 0.320 0.320
Tm: 0.000 0.000 0.000
La: 0.500 0.333 0.667
La: 0.000 0.333 0.667
La: 0.750 0.000 0.341

Entry 3:
Computed, not measured: crystalline MgScH8Ir2 at its relaxed geometry at the PBE-GGA level of DFT.

Summary:
E = -55.06 eV per cell
volume = 96.8 Å³/f.u.
spin magnetization = 0.0 μB per cell

abc: 4.360 4.614 6.240
angles: 62.53 69.55 61.80
Atoms (fractional coordinates):
H: 0.714 0.434 0.138
Sc: 0.500 0.500 0.500
H: 0.089 0.475 0.348
Ir: 0.297 0.259 0.147
H: 0.090 0.986 0.325
Ir: 0.703 0.741 0.853
H: 0.910 0.014 0.675
H: 0.599 0.986 0.325
H: 0.286 0.566 0.862
Mg: 0.000 0.000 0.000
H: 0.911 0.525 0.652
H: 0.401 0.014 0.675

Entry 4:
Computed, not measured: crystalline NdGe2OsRu at its relaxed geometry at the PBE-GGA level of DFT.

Summary:
E = -37.15 eV per cell
volume = 93.2 Å³/f.u.
spin magnetization = 0.0 μB per cell

abc: 4.295 4.295 5.897
angles: 111.35 111.35 90.00
Atoms (fractional coordinates):
Nd: 0.000 0.000 0.000
Ru: 0.750 0.250 0.500
Os: 0.250 0.750 0.500
Ge: 0.369 0.369 0.738
Ge: 0.631 0.631 0.262

Entry 5:
Computed, not measured: crystalline HPdPb at its relaxed geometry at the PBE-GGA level of DFT.

Summary:
E = -49.95 eV per cell
volume = 49.7 Å³/f.u.
polymorph energy (0 for the lowest one) = 0.000 eV/atom
spin magnetization = 0.0 μB per cell

abc: 3.398 6.552 9.094
angles: 92.84 100.77 90.00
Atoms (fractional coordinates):
Pd: 0.304 0.397 0.609
Pd: 0.296 0.870 0.592
Pd: 0.696 0.603 0.391
Pb: 0.909 0.651 0.817
H: 0.746 0.874 0.493
Pb: 0.091 0.349 0.183
Pd: 0.704 0.130 0.408
Pb: 0.427 0.148 0.855
H: 0.236 0.623 0.472
H: 0.764 0.377 0.528
Pb: 0.573 0.852 0.145
H: 0.254 0.126 0.507

Entry 6:
Computed, not measured: crystalline Be4CdCl at its relaxed geometry at the PBE-GGA level of DFT.

Summary:
ΔE_f (raw) = 0.56 eV/atom
E = -14.29 eV per cell
volume = 78.1 Å³/f.u.
spin magnetization = 0.0 μB per cell

abc: 4.799 4.799 4.799
angles: 60.00 60.00 60.00
Atoms (fractional coordinates):
Cl: 0.000 0.000 0.000
Be: 0.621 0.621 0.621
Cd: 0.250 0.250 0.250
Be: 0.621 0.138 0.621
Be: 0.621 0.621 0.138
Be: 0.138 0.621 0.621

Entry 7:
Computed, not measured: crystalline TcP2W at its relaxed geometry at the PBE-GGA level of DFT.

Summary:
E = -35.75 eV per cell
volume = 57.6 Å³/f.u.
polymorph energy (0 for the lowest one) = 0.000 eV/atom
spin magnetization = 0.0 μB per cell

abc: 6.144 6.144 6.144
angles: 150.16 149.99 42.83
Atoms (fractional coordinates):
P: 0.706 0.206 0.500
P: 0.957 0.957 0.000
W: 0.294 0.794 0.500
Tc: 0.542 0.542 0.000

Entry 8:
Computed, not measured: crystalline ZrPbBr2 at its relaxed geometry at the PBE-GGA level of DFT.

Summary:
ΔE_f (raw) = 0.00 eV/atom
E = -15.62 eV per cell
volume = 101.7 Å³/f.u.
polymorph energy (0 for the lowest one) = 0.768 eV/atom
spin magnetization = 1.7 μB per cell

abc: 5.373 5.373 3.524
angles: 90.00 90.00 90.00
Site moments in Bohr magnetons follow the coordinates.
Atoms (fractional coordinates):
Br: 0.500 0.500 0.000  0.01
Br: 0.000 0.000 0.000  0.01
Zr: 0.000 0.500 0.500  0.96
Pb: 0.500 0.000 0.500  0.03

Entry 9:
Computed, not measured: crystalline TmScTlS at its relaxed geometry at the PBE-GGA level of DFT.

Summary:
ΔE_f (raw) = -1.09 eV/atom
E = -21.64 eV per cell
volume = 91.4 Å³/f.u.
spin magnetization = 0.0 μB per cell

abc: 3.657 3.660 8.157
angles: 89.99 102.89 119.96
Atoms (fractional coordinates):
S: 0.297 0.547 0.858
Sc: 0.508 0.152 0.674
Tl: 0.974 0.384 0.375
Tm: 0.099 0.948 0.062

Entry 10:
Computed, not measured: crystalline Ca3ScCl at its relaxed geometry at the PBE-GGA level of DFT.

Summary:
ΔE_f (raw) = 0.43 eV/atom
E = -12.03 eV per cell
volume = 227.0 Å³/f.u.
polymorph energy (0 for the lowest one) = 0.771 eV/atom
spin magnetization = 3.9 μB per cell

abc: 6.101 6.101 6.101
angles: 90.00 90.00 90.00
Site moments in Bohr magnetons follow the coordinates.
Atoms (fractional coordinates):
Ca: 0.000 0.500 0.000  0.21
Cl: 0.500 0.500 0.500  0.04
Ca: 0.500 0.000 0.000  0.13
Sc: 0.000 0.000 0.000  1.22
Ca: 0.000 0.000 0.500  0.23

Entry 11:
Computed, not measured: crystalline CeErTh2P4 at its relaxed geometry at the PBE-GGA level of DFT.

Summary:
E = -59.42 eV per cell
volume = 193.3 Å³/f.u.
spin magnetization = 0.3 μB per cell

abc: 4.095 7.085 7.068
angles: 109.56 90.00 90.00
Site moments in Bohr magnetons follow the coordinates.
Atoms (fractional coordinates):
P: 0.000 0.751 0.244  0.00
Th: 0.500 0.000 0.500  0.01
P: 0.500 0.245 0.242  0.00
P: 0.500 0.755 0.758  0.00
Th: 0.000 0.500 0.500  0.01
Ce: 0.500 0.500 0.000  0.23
Er: 0.000 0.000 0.000  0.00
P: 0.000 0.249 0.756  0.00

Entry 12:
Computed, not measured: crystalline PmBeGe2Ir at its relaxed geometry at the PBE-GGA level of DFT.

Summary:
E = -29.36 eV per cell
volume = 87.2 Å³/f.u.
spin magnetization = 0.0 μB per cell

abc: 4.025 4.025 6.089
angles: 109.30 109.30 90.00
Atoms (fractional coordinates):
Ge: 0.380 0.380 0.760
Ge: 0.620 0.620 0.240
Pm: 0.000 0.000 0.000
Be: 0.750 0.250 0.500
Ir: 0.250 0.750 0.500

Among the records above, which one has the lowest volume?
HPdPb